No. 1
A plane-wave DFT calculation with PBE was carried out for Sm2HoZn after structural relaxation.

Calculated values
calculated formation energy = -0.031 eV per atom
D(E_F) = 1.3529 states/eV/atom
relative energy among the computed polymorphs = 125 meV per atom

abc: 3.6334 3.6334 31.1389
angles: 90.00 90.00 120.00
Space group R3m (No. 160, hexagonal axes)
One atom of each set of equivalent atoms:
1 Sm 0.0000 0.0000 0.0000
2 Sm 0.0000 0.0000 0.1868
3 Ho 0.0000 0.0000 0.7601
4 Zn 0.0000 0.0000 0.5937

=====

No. 2
A plane-wave DFT calculation with PBE was carried out for Cs2SnBr6N after structural relaxation.

Calculated values
D(E_F) = 0.0000 states/eV/atom
formation energy (no corrections) = -0.596 eV per atom

abc: 8.0072 8.0072 11.5121
angles: 90.00 90.00 90.00
Space group I4/mmm (No. 139)
One atom of each set of equivalent atoms:
1 Cs 0.0000 0.5000 0.2500
2 Sn 0.0000 0.0000 0.0000
3 Br 0.0000 0.0000 0.2312
4 Br 0.2350 0.2350 0.0000
5 N 0.0000 0.0000 0.5000

=====

No. 3
A plane-wave DFT calculation with PBE was carried out for B4C after structural relaxation.

Calculated values
calculated formation energy = 0.428 eV per atom
D(E_F) = 0.0783 states/eV/atom
relative energy among the computed polymorphs = 530 meV per atom

abc: 3.3014 3.3726 4.0322
angles: 110.09 101.70 97.38
Space group P-1 (No. 2)
One atom of each set of equivalent atoms:
1 B 0.1283 0.2853 0.1049
2 B 0.3286 0.5130 0.8190
3 C 0.5000 0.5000 0.5000

=====

No. 4
A plane-wave DFT calculation with PBE was carried out for Ba2NpUS6 after structural relaxation.

Calculated values
D(E_F) = 1.1063 states/eV/atom
formation energy (no corrections) = -1.705 eV per atom

abc: 7.2585 7.4786 12.6567
angles: 90.00 124.91 90.00
Space group P2_1/c (No. 14)
One atom of each set of equivalent atoms:
1 Ba 0.2349 0.0565 0.2500
2 Np 0.5000 0.0000 0.0000
3 U 0.0000 0.0000 0.5000
4 S 0.1595 0.2101 0.9554
5 S 0.2477 0.7050 0.9567
6 S 0.3302 0.0203 0.7474

=====

No. 5
A plane-wave DFT calculation with PBE was carried out for Ta2TiH after structural relaxation.

Calculated values
D(E_F) = 0.8632 states/eV/atom
relative energy among the computed polymorphs = 385 meV per atom

abc: 2.8816 2.8816 24.3430
angles: 90.00 90.00 120.00
Space group R-3m (No. 166, hexagonal axes)
One atom of each set of equivalent atoms:
1 Ta 0.0000 0.0000 0.1112
2 Ti 0.0000 0.0000 0.0000
3 H 0.0000 0.0000 0.5000

=====

No. 6
A plane-wave DFT calculation with PBE was carried out for AgPd after structural relaxation.

Calculated values
calculated formation energy = 0.180 eV per atom
D(E_F) = 0.7921 states/eV/atom

abc: 2.8156 11.8341 6.8103
angles: 90.00 90.00 90.00
Space group Amm2 (No. 38)
One atom of each set of equivalent atoms:
1 Ag 0.0000 0.0000 0.0000
2 Ag 0.0000 0.2422 0.4241
3 Pd 0.0000 0.0000 0.3967
4 Pd 0.5000 0.1125 0.6889

=====

Question: Number 2 is which compound?
Answer: Cs2SnBr6N

=====

Question: Among the records above, which one has the highest D(E_F)?
Answer: Sm2HoZn

=====

Copy entry 2 word for word.
A plane-wave DFT calculation with PBE was carried out for Cs2SnBr6N after structural relaxation.

Calculated values
D(E_F) = 0.0000 states/eV/atom
formation energy (no corrections) = -0.596 eV per atom

abc: 8.0072 8.0072 11.5121
angles: 90.00 90.00 90.00
Space group I4/mmm (No. 139)
One atom of each set of equivalent atoms:
1 Cs 0.0000 0.5000 0.2500
2 Sn 0.0000 0.0000 0.0000
3 Br 0.0000 0.0000 0.2312
4 Br 0.2350 0.2350 0.0000
5 N 0.0000 0.0000 0.5000

=====

Question: Which of these has the highest D(E_F)?
Answer: Sm2HoZn